Density functional theory data (PBE-GGA) for an optimized crystal structure of KU2MnS8.

For the total energy, the calculation gives -6.37 eV per atom. The value obtained for the energy relative to the elements, uncorrected is -0.8822 eV per atom.

The structure belongs to space group P2/m (No. 10); the cell edges are 6.1448, 8.1539 and 6.4342 Å and the angles 90.00°, 97.86° and 90.00°. Symmetry generates all atoms from K at (0.0000, 0.0000, 0.0000), U at (0.5000, 0.2556, 0.5000), Mn at (0.0000, 0.5000, 0.0000), S at (0.2235, 0.3057, 0.1800), S at (0.3036, 0.5000, 0.6492) and S at (0.3100, 0.0000, 0.6374).

***

Density functional theory data (PBE-GGA) for an optimized crystal structure of KUMn2S4.

For the total energy, the calculation gives -6.64 eV per atom. The value obtained for the energy relative to the elements, uncorrected is -0.7405 eV per atom.

The structure belongs to space group I222 (No. 23); the cell edges are 6.6380, 6.8338 and 7.9122 Å and the angles 90.00°, 90.00° and 90.00°. Symmetry generates all atoms from K at (0.0000, 0.0000, 0.0000), U at (0.0000, 0.0000, 0.5000), Mn at (0.0000, 0.5000, 0.1994) and S at (0.2240, 0.2263, 0.2979).

***

Spin magnetization list, top to bottom, in μB/cell: 4.05; 21.97